BPdPt2, optimized geometry, DFT GGA-PBEsol; calculated formation energy = -0.133 eV per atom; space-group type = I-42d, No. 122; total moment = 0.0 μB/f.u.; ρ = 15.636 g/cm³; volume = 53.89 Å³/f.u.; DFT total energy = -54.87 eV/cell
1.0
4.951 0.000 0.000
2.476 4.665 0.000
2.476 0.000 4.665
B Pt Pd
2 4 2
Cartesian
3.714 2.333 2.333
2.476 0.000 0.000
3.095 1.947 0.385
4.333 4.280 1.947
4.333 0.385 2.718
8.046 2.718 4.280
0.000 0.000 0.000
6.189 2.333 2.333